1.
{
  "formula": "TbYIn4Ir2",
  "functional": "GGA-PBE",
  "state": "relaxed",
  "lattice_angstrom": [[8.0012, 0.0000, 0.0000], [0.0000, 2.1683, 5.1226], [0.0000, -2.1683, 5.1226]],
  "species": ["Tb", "Ir", "In", "In", "Ir", "Y", "In", "In"],
  "fractional_positions": [[0.0000, 0.5719, 0.5719], [0.5000, 0.7203, 0.7203], [0.2003, 0.8575, 0.8575], [0.7997, 0.8575, 0.8575], [0.0000, 0.2794, 0.2794], [0.5000, 0.4284, 0.4284], [0.6998, 0.1425, 0.1425], [0.3002, 0.1425, 0.1425]],
  "dft_energy_ev_per_atom": -5.51
}



2.
{
  "formula": "BaSmAgTe3",
  "functional": "GGA-PBE",
  "state": "relaxed",
  "lattice_angstrom": [[-4.6402, 8.6681, 1.7778], [-3.7423, -1.5286, -2.3150], [-6.4279, -6.4450, 14.6467]],
  "species": ["Te", "Sm", "Sm", "Sm", "Te", "Ba", "Te", "Te", "Te", "Te", "Te", "Te", "Te", "Ba", "Ag", "Ag", "Ag", "Te", "Ba", "Sm", "Ag", "Te", "Ba", "Te"],
  "fractional_positions": [[0.4856, 0.7500, 0.8996], [0.3012, 0.2500, 0.9644], [0.8012, 0.2500, 0.5356], [0.6988, 0.7500, 0.0356], [0.9856, 0.7500, 0.6004], [0.0810, 0.2500, 0.1998], [0.8642, 0.2500, 0.9595], [0.1893, 0.2500, 0.7945], [0.1358, 0.7500, 0.0405], [0.3107, 0.7500, 0.2945], [0.6893, 0.2500, 0.7055], [0.5144, 0.2500, 0.1004], [0.0144, 0.2500, 0.3996], [0.5810, 0.2500, 0.3002], [0.3637, 0.7500, 0.1332], [0.6363, 0.2500, 0.8668], [0.8637, 0.7500, 0.3668], [0.3642, 0.2500, 0.5405], [0.9190, 0.7500, 0.8002], [0.1988, 0.7500, 0.4644], [0.1363, 0.2500, 0.6332], [0.8107, 0.7500, 0.2055], [0.4190, 0.7500, 0.6998], [0.6358, 0.7500, 0.4595]],
  "dft_energy_ev_per_atom": -4.37
}